1.
The following is a DFT calculation (GGA-PBE) of a geometry-optimized Ac2HgPt2 structure.

abc: 8.1525 8.1525 4.0620
angles: 90.00 90.00 90.00
Space group P4/mbm (No. 127)
Asymmetric unit:
Ac (0.1745, 0.3255, 0.0000) (multiplicity 4)
Hg (0.0000, 0.0000, 0.5000) (multiplicity 2)
Pt (0.1258, 0.6258, 0.5000) (multiplicity 4)

Calculated values
total moment: 0.01 μB per formula unit
ΔH_f (0 K): -982 meV/atom

2.
The following is a DFT calculation (GGA-PBE) of a geometry-optimized AcPuHg structure.

abc: 7.5201 7.5201 7.5201
angles: 90.00 90.00 90.00
Space group F-43m (No. 216)
Asymmetric unit:
Ac (0.0000, 0.0000, 0.0000) (multiplicity 4)
Pu (0.2500, 0.2500, 0.2500) (multiplicity 4)
Hg (0.2500, 0.2500, 0.7500) (multiplicity 4)

Calculated values
total moment: 6.12 μB per formula unit
ΔH_f (0 K): 434 meV/atom

3.
The following is a DFT calculation (GGA-PBE) of a geometry-optimized AcReHg structure.

abc: 7.0357 7.0357 7.0357
angles: 90.00 90.00 90.00
Space group F-43m (No. 216)
Asymmetric unit:
Ac (0.0000, 0.0000, 0.0000) (multiplicity 4)
Re (0.0000, 0.0000, 0.5000) (multiplicity 4)
Hg (0.2500, 0.2500, 0.2500) (multiplicity 4)

Calculated values
total moment: 1.70 μB per formula unit
ΔH_f (0 K): 1064 meV/atom